An optimized crystal structure of Al3TcN, computed with PBEsol.

For the formation energy without anion corrections, the calculation gives -22 kJ/mol of atoms.

The space group is Pm-3m (No. 221) and the conventional cell measures 3.9463, 3.9463 and 3.9463 Å, with angles of 90.00, 90.00 and 90.00 degrees. The inequivalent atoms are Al at (0.0000, 0.0000, 0.5000), Tc at (0.5000, 0.5000, 0.5000) and N at (0.0000, 0.0000, 0.0000).

***

An optimized crystal structure of BeCdCl2, computed with PBEsol.

For the formation energy without anion corrections, the calculation gives -62 kJ/mol of atoms.

The space group is Immm (No. 71) and the conventional cell measures 2.9952, 5.6998 and 10.1427 Å, with angles of 90.00, 90.00 and 90.00 degrees. The inequivalent atoms are Be at (0.0000, 0.0000, 0.0000), Cd at (0.0000, 0.0000, 0.5000) and Cl at (0.0000, 0.5000, 0.3544).

***

An optimized crystal structure of KReAs2Br, computed with PBEsol.

For the formation energy without anion corrections, the calculation gives 215 kJ/mol of atoms.

The space group is P4/mmm (No. 123) and the conventional cell measures 5.3668, 5.3668 and 5.3757 Å, with angles of 90.00, 90.00 and 90.00 degrees. The inequivalent atoms are K at (0.0000, 0.0000, 0.0000), Re at (0.5000, 0.5000, 0.5000), As at (0.0000, 0.5000, 0.0000) and Br at (0.0000, 0.0000, 0.5000).

***

An optimized crystal structure of LiCa3, computed with PBEsol.

The space group is Fm-3m (No. 225) and the conventional cell measures 8.3511, 8.3511 and 8.3511 Å, with angles of 90.00, 90.00 and 90.00 degrees. The inequivalent atoms are Li at (0.0000, 0.0000, 0.0000), Ca at (0.0000, 0.0000, 0.5000) and Ca at (0.2500, 0.2500, 0.2500).

***

An optimized crystal structure of Mo2RuRh, computed with PBEsol.

The space group is Cmmm (No. 65) and the conventional cell measures 5.4639, 7.6489 and 2.7286 Å, with angles of 90.00, 90.00 and 90.00 degrees. The inequivalent atoms are Mo at (0.2500, 0.2500, 0.0000), Ru at (0.0000, 0.0000, 0.5000) and Rh at (0.0000, 0.5000, 0.5000).

***

An optimized crystal structure of LuPtF7, computed with PBEsol.

For the formation energy without anion corrections, the calculation gives -252 kJ/mol of atoms.

The space group is P2_1/c (No. 14) and the conventional cell measures 8.5791, 5.3490 and 11.6278 Å, with angles of 90.00, 117.39 and 90.00 degrees. The inequivalent atoms are Lu at (0.1850, 0.2392, 0.2644), Pt at (0.2712, 0.7415, 0.0427), F at (0.0176, 0.7473, 0.9480), F at (0.0311, 0.5862, 0.7328), F at (0.2524, 0.5511, 0.1780), F at (0.2744, 0.0681, 0.4558), F at (0.2770, 0.0413, 0.1383), F at (0.2973, 0.5607, 0.4127) and F at (0.4750, 0.2230, 0.3576).

***

An optimized crystal structure of SrZnCd, computed with PBEsol.

The space group is F-43m (No. 216) and the conventional cell measures 6.9659, 6.9659 and 6.9659 Å, with angles of 90.00, 90.00 and 90.00 degrees. The inequivalent atoms are Sr at (0.0000, 0.0000, 0.0000), Zn at (0.2500, 0.2500, 0.7500) and Cd at (0.0000, 0.0000, 0.5000).

***

An optimized crystal structure of NdSBr, computed with PBEsol.

For the formation energy without anion corrections, the calculation gives -195 kJ/mol of atoms.

The space group is P2_1/c (No. 14) and the conventional cell measures 6.9307, 7.0190 and 6.8942 Å, with angles of 90.00, 99.97 and 90.00 degrees. The inequivalent atoms are Nd at (0.1810, 0.0368, 0.2903), S at (0.0557, 0.7411, 0.5089) and Br at (0.4172, 0.1203, 0.7059).

***

no.,E_tot (eV per cell),volume (Å³ per cell)
1,-33.20,61
2,-23.57,173
3,-15.40,155
4,-32.22,582
5,-84.25,114
6,-195.25,474
7,-19.30,338
8,-69.91,330